{
  "formula": "Nd2SiAu",
  "functional": "PBE",
  "state": "optimized geometry",
  "dos_at_fermi_per_ev_cell": 3.783,
  "space_group": "No. 166",
  "raw_formation_energy_mev_per_atom": -581,
  "vol_a3_per_cell": 114.9,
  "dft_energy_ev_per_atom": -5.14,
  "cell": [[-2.052, 0.104, 3.832], [-3.747, -2.143, 0.519], [1.612, -6.379, 3.503]],
  "species": ["Au", "Si", "Nd", "Nd"],
  "fractional_positions": [[0.500, 0.500, 0.500], [0.000, 0.000, 0.000], [0.257, 0.257, 0.229], [0.743, 0.743, 0.771]]
}

***

{
  "formula": "ScReOs2",
  "functional": "PBE",
  "state": "optimized geometry",
  "dos_at_fermi_per_ev_cell": 4.963,
  "space_group": "No. 160",
  "vol_a3_per_cell": 63.0,
  "dft_energy_ev_per_atom": -10.10,
  "cell": [[-8.514, -2.295, 2.766], [-8.364, -3.906, 0.447], [-7.313, -4.852, 2.896]],
  "species": ["Re", "Os", "Os", "Sc"],
  "fractional_positions": [[0.505, 0.505, 0.505], [0.996, 0.996, 0.996], [0.250, 0.250, 0.250], [0.749, 0.749, 0.749]]
}

***

{
  "formula": "AcSnBi2",
  "functional": "PBE",
  "state": "optimized geometry",
  "dos_at_fermi_per_ev_cell": 2.453,
  "space_group": "No. 123",
  "polymorph_energy_ev_per_atom": 0.0000,
  "vol_a3_per_cell": 128.8,
  "dft_energy_ev_per_atom": -4.48,
  "cell": [[4.946, 0.000, 0.000], [0.000, 5.103, 0.000], [0.000, 0.000, 5.103]],
  "species": ["Sn", "Bi", "Bi", "Ac"],
  "fractional_positions": [[0.500, 0.000, 0.000], [0.000, 0.500, 0.000], [0.000, 0.000, 0.500], [0.500, 0.500, 0.500]]
}

***

{
  "formula": "Dy3Tm4Pd2",
  "functional": "PBE",
  "state": "optimized geometry",
  "dos_at_fermi_per_ev_cell": 10.278,
  "space_group": "No. 12",
  "vol_a3_per_cell": 245.6,
  "dft_energy_ev_per_atom": -5.05,
  "cell": [[3.589, 0.000, 0.740], [1.105, 7.216, 3.712], [-0.109, 0.282, 9.599]],
  "species": ["Tm", "Tm", "Tm", "Tm", "Pd", "Pd", "Dy", "Dy", "Dy"],
  "fractional_positions": [[0.911, 0.493, 0.685], [0.089, 0.507, 0.315], [0.321, 0.318, 0.040], [0.679, 0.682, 0.960], [0.743, 0.227, 0.288], [0.257, 0.773, 0.712], [0.369, 0.884, 0.377], [0.000, 0.000, 0.000], [0.631, 0.116, 0.623]]
}

***

{
  "formula": "CaSiMo3",
  "functional": "PBE",
  "state": "optimized geometry",
  "dos_at_fermi_per_ev_cell": 12.257,
  "space_group": "No. 221",
  "polymorph_energy_ev_per_atom": 1.8522,
  "raw_formation_energy_mev_per_atom": 2722,
  "vol_a3_per_cell": 97.4,
  "dft_energy_ev_per_atom": -5.26,
  "cell": [[4.601, 0.000, 0.000], [0.000, 4.601, 0.000], [0.000, 0.000, 4.601]],
  "species": ["Ca", "Si", "Mo", "Mo", "Mo"],
  "fractional_positions": [[0.000, 0.000, 0.000], [0.500, 0.500, 0.500], [0.000, 0.500, 0.000], [0.000, 0.000, 0.500], [0.500, 0.000, 0.000]]
}

***

{
  "formula": "NaTlGe",
  "functional": "PBE",
  "state": "optimized geometry",
  "dos_at_fermi_per_ev_cell": 1.823,
  "space_group": "No. 1",
  "vol_a3_per_cell": 167.7,
  "dft_energy_ev_per_atom": -2.77,
  "cell": [[8.164, -0.029, -0.003], [-0.977, 3.869, -0.014], [-1.140, -2.337, 5.324]],
  "species": ["Ge", "Ge", "Tl", "Tl", "Na", "Na"],
  "fractional_positions": [[0.471, 0.812, 0.575], [0.661, 0.370, 0.495], [0.870, 0.184, 0.914], [0.260, 0.998, 0.160], [0.564, 0.589, 0.034], [0.066, 0.592, 0.537]]
}

***

Which formula does entry 4 have?
Dy3Tm4Pd2